1.
! LiZnCu4B2, relaxed, DFT PBE; values from VASP
&SYSTEM
  ibrav = 0, nat = 8, ntyp = 4
/
ATOMIC_SPECIES
Li 6.94 Li.upf
Zn 65.41 Zn.upf
B 10.81 B.upf
Cu 63.55 Cu.upf
CELL_PARAMETERS angstrom
3.853 0.000 0.000
0.000 3.853 0.000
0.000 0.000 5.544
ATOMIC_POSITIONS crystal
Li 0.000 0.000 0.500
Zn 0.500 0.500 0.000
B 0.000 0.000 0.000
Cu 0.500 0.000 0.264
Cu 0.000 0.500 0.264
Cu 0.000 0.500 0.736
Cu 0.500 0.000 0.736
B 0.500 0.500 0.500
! DFT total energy = -3.606 eV per atom
! symmetry = P4/mmm

2.
! Hf2SiOs, relaxed, DFT PBE; values from VASP
&SYSTEM
  ibrav = 0, nat = 4, ntyp = 3
/
ATOMIC_SPECIES
Os 190.23 Os.upf
Hf 178.49 Hf.upf
Si 28.09 Si.upf
CELL_PARAMETERS angstrom
2.435 0.665 3.799
-2.109 1.049 3.906
-0.178 -3.050 3.386
ATOMIC_POSITIONS crystal
Os 0.250 0.250 0.250
Hf 0.000 0.000 0.000
Si 0.500 0.500 0.500
Hf 0.750 0.750 0.750
! DFT total energy = -9.258 eV per atom
! symmetry = F-43m

3.
! Lu4CuNiC2, relaxed, DFT PBE; values from VASP
&SYSTEM
  ibrav = 0, nat = 8, ntyp = 4
/
ATOMIC_SPECIES
Cu 63.55 Cu.upf
C 12.01 C.upf
Lu 174.97 Lu.upf
Ni 58.69 Ni.upf
CELL_PARAMETERS angstrom
3.544 0.000 0.000
-1.772 3.070 0.000
0.000 0.000 13.152
ATOMIC_POSITIONS crystal
Cu 0.333 0.667 0.500
C 0.000 0.000 0.752
C 0.000 0.000 0.248
Lu 0.333 0.667 0.144
Lu 0.667 0.333 0.657
Lu 0.333 0.667 0.856
Ni 0.667 0.333 0.000
Lu 0.667 0.333 0.343
! DFT total energy = -5.993 eV per atom
! symmetry = P-6m2

4.
! ScCoCuSn, relaxed, DFT PBE; values from VASP
&SYSTEM
  ibrav = 0, nat = 4, ntyp = 4
/
ATOMIC_SPECIES
Sc 44.96 Sc.upf
Cu 63.55 Cu.upf
Sn 118.71 Sn.upf
Co 58.93 Co.upf
CELL_PARAMETERS angstrom
0.000 3.196 3.196
3.196 0.000 3.196
3.196 3.196 0.000
ATOMIC_POSITIONS crystal
Sc 0.250 0.250 0.250
Cu 0.750 0.750 0.750
Sn 0.000 0.000 0.000
Co 0.500 0.500 0.500
! DFT total energy = -5.330 eV per atom
! symmetry = F-43m
! energy above the most stable polymorph in this dataset = 282 meV/atom